# 1
Nb2GaW | the Open Quantum Materials Database | PBE | relaxed; volume = 16.838 Å³ per atom
1.0
0.0000 3.2293 3.2293
3.2293 0.0000 3.2293
3.2293 3.2293 0.0000
Nb Ga W
2 1 1
Direct
0.0000 0.0000 0.0000
0.7500 0.7500 0.7500
0.5000 0.5000 0.5000
0.2500 0.2500 0.2500

***

# 2
NbZn2Ga | the Open Quantum Materials Database | PBE | relaxed; volume = 15.336 Å³ per atom
1.0
3.9014 0.0000 0.0000
0.0000 3.9014 0.0000
0.0000 0.0000 4.0301
Nb Zn Ga
1 2 1
Direct
0.5000 0.5000 0.5000
0.5000 0.0000 0.0000
0.0000 0.5000 0.0000
0.0000 0.0000 0.5000

***

# 3
NbZn2Ga | the Open Quantum Materials Database | PBE | relaxed; volume = 15.859 Å³ per atom
1.0
0.0000 3.1654 3.1654
3.1654 0.0000 3.1654
3.1654 3.1654 0.0000
Zn Ga Nb
2 1 1
Direct
0.0000 0.0000 0.0000
0.7500 0.7500 0.7500
0.5000 0.5000 0.5000
0.2500 0.2500 0.2500

***

# 4
Nb2ZnGa | the Open Quantum Materials Database | PBE | relaxed; volume = 16.862 Å³ per atom
1.0
0.0000 3.2308 3.2308
3.2308 0.0000 3.2308
3.2308 3.2308 0.0000
Nb Ga Zn
2 1 1
Direct
0.7500 0.7500 0.7500
0.0000 0.0000 0.0000
0.5000 0.5000 0.5000
0.2500 0.2500 0.2500

***

# 5
Zr2NbGa | the Open Quantum Materials Database | PBE | relaxed; volume = 19.458 Å³ per atom
1.0
-0.8079 2.9562 3.6845
-3.1976 3.5440 -0.4278
-4.1528 -0.2191 2.3819
Ga Zr Nb
1 2 1
Direct
0.5000 0.5000 0.5000
0.7500 0.7500 0.7500
0.0000 0.0000 0.0000
0.2500 0.2500 0.2500

***

# 6
Zr2NbGa2 | the Open Quantum Materials Database | PBE | relaxed; volume = 19.007 Å³ per atom
1.0
7.1581 0.0000 0.0000
0.0000 7.1581 0.0000
0.0000 0.0000 3.7095
Ga Zr Nb
4 4 2
Direct
0.1247 0.3753 0.0000
0.3753 0.8753 0.0000
0.8753 0.6247 0.0000
0.6247 0.1247 0.0000
0.6781 0.8219 0.5000
0.3219 0.1781 0.5000
0.8219 0.3219 0.5000
0.1781 0.6781 0.5000
0.0000 0.0000 0.0000
0.5000 0.5000 0.0000

***

no.,total magnetic moment (Bohr magnetons per cell),DFT total energy (eV per atom)
1,0.1,-8.9474
2,0.0,-4.1757
3,1.4,-3.7242
4,0.1,-5.9179
5,0.0,-7.6179
6,0.1,-7.1304